Below is CoTcNiW2 after structural relaxation, with properties calculated at the PBE level.

```
data_CoTcNiW2
_space_group_name_H-M_alt 'P 4/m m m'
_space_group_IT_number 123
_space_group_name_Hall '-P 4 2'
_cell_length_a 4.4256
_cell_length_b 4.4256
_cell_length_c 4.1145
_cell_angle_alpha 90.00
_cell_angle_beta 90.00
_cell_angle_gamma 90.00
loop_
_atom_site_label
_atom_site_type_symbol
_atom_site_fract_x
_atom_site_fract_y
_atom_site_fract_z
Co1 Co 0.0000 0.0000 0.0000
Tc1 Tc 0.5000 0.5000 0.0000
Ni1 Ni 0.0000 0.0000 0.5000
W1 W 0.0000 0.5000 0.5000
```

Output
DFT formation energy (eV per atom): 1.459
VASP energy (eV/atom): -8.37
Fermi-level density of states (states/eV/atom): 1.608